(1)
Here is Mg2BeMo after structural relaxation from Alexandria via LeMat-Bulk. Energies are from PBE.

abc: 2.745 2.745 8.568
angles: 90.00 90.00 98.73
Atoms (fractional coordinates):
Mg 0.000 0.000 0.234
Mg 0.000 0.000 0.766
Be 0.500 0.500 0.000
Mo 0.500 0.500 0.500

Results
**Electronic total energy**: -16.2 eV per cell
**Density**: 4.0 g/cm³
**Formation energy**: 0.375 eV per atom

(2)
Here is Mg2BeMo after structural relaxation from Alexandria via LeMat-Bulk. Energies are from PBE.

abc: 5.129 5.129 4.979
angles: 111.32 111.32 31.55
Atoms (fractional coordinates):
Mg 0.000 0.000 0.000
Mg 0.227 0.227 0.814
Be 0.722 0.722 0.364
Mo 0.449 0.449 0.451

Results
**Electronic total energy**: -16.3 eV per cell
**Density**: 4.0 g/cm³
**Formation energy**: 0.363 eV per atom

(3)
Here is MgBeMo after structural relaxation from Alexandria via LeMat-Bulk. Energies are from PBE.

abc: 4.026 4.026 4.026
angles: 60.00 60.00 60.00
Atoms (fractional coordinates):
Mg 0.000 0.000 0.000
Be 0.250 0.250 0.250
Mo 0.500 0.500 0.500

Results
**Electronic total energy**: -14.1 eV per cell
**Density**: 4.7 g/cm³
**Energy above the lowest structure with this stoichiometry**: 0.408 eV/atom
**Formation energy**: 0.699 eV per atom

(4)
Here is Mg2BeMo after structural relaxation from Alexandria via LeMat-Bulk. Energies are from PBE.

abc: 3.867 3.867 4.108
angles: 90.00 90.00 90.00
Atoms (fractional coordinates):
Mg 0.000 0.500 0.000
Mg 0.500 0.000 0.000
Be 0.000 0.000 0.500
Mo 0.500 0.500 0.500

Results
**Electronic total energy**: -16.5 eV per cell
**Density**: 4.2 g/cm³
**Formation energy**: 0.314 eV per atom

(5)
Here is MgBe3Mo after structural relaxation from Alexandria via LeMat-Bulk. Energies are from PBE.

abc: 4.335 4.335 4.335
angles: 90.00 90.00 90.00
Atoms (fractional coordinates):
Mg 0.000 0.000 0.000
Be 0.000 0.500 0.500
Be 0.500 0.000 0.500
Be 0.500 0.500 0.000
Mo 0.500 0.500 0.500

Results
**Electronic total energy**: -18.4 eV per cell
**Density**: 3.0 g/cm³
**Energy above the lowest structure with this stoichiometry**: 0.000 eV/atom
**Formation energy**: 1.038 eV per atom

(6)
Here is MgBeMo after structural relaxation from Alexandria via LeMat-Bulk. Energies are from PBE.

abc: 5.537 5.537 5.537
angles: 151.85 146.78 44.09
Atoms (fractional coordinates):
Mg 0.000 0.000 0.000
Be 0.333 0.333 0.000
Mo 0.704 0.704 0.000

Results
**Electronic total energy**: -15.2 eV per cell
**Density**: 4.9 g/cm³
**Energy above the lowest structure with this stoichiometry**: 0.021 eV/atom
**Formation energy**: 0.312 eV per atom

(7)
Here is Mg2BeMo after structural relaxation from Alexandria via LeMat-Bulk. Energies are from PBE.

abc: 2.766 2.766 8.305
angles: 90.00 90.00 90.00
Atoms (fractional coordinates):
Mg 0.000 0.000 0.229
Mg 0.000 0.000 0.771
Be 0.500 0.500 0.000
Mo 0.500 0.500 0.500

Results
**Electronic total energy**: -16.2 eV per cell
**Density**: 4.0 g/cm³
**Formation energy**: 0.384 eV per atom

(8)
Here is Mg2BeMo after structural relaxation from Alexandria via LeMat-Bulk. Energies are from PBE.

abc: 2.789 4.148 5.529
angles: 90.00 90.00 90.00
Atoms (fractional coordinates):
Mg 0.000 0.000 0.246
Mg 0.000 0.000 0.754
Be 0.500 0.500 0.000
Mo 0.500 0.500 0.500

Results
**Electronic total energy**: -15.8 eV per cell
**Density**: 4.0 g/cm³
**Formation energy**: 0.478 eV per atom

(9)
Here is Mg2BeMo after structural relaxation from Alexandria via LeMat-Bulk. Energies are from PBE.

abc: 5.177 5.177 2.705
angles: 90.00 90.00 117.43
Atoms (fractional coordinates):
Mg 0.000 0.500 0.000
Mg 0.500 0.000 0.000
Be 0.000 0.000 0.500
Mo 0.500 0.500 0.500

Results
**Electronic total energy**: -16.1 eV per cell
**Density**: 4.0 g/cm³
**Formation energy**: 0.417 eV per atom

(10)
Here is Mg4BeMo after structural relaxation from Alexandria via LeMat-Bulk. Energies are from PBE.

abc: 5.487 5.487 5.487
angles: 60.00 60.00 60.00
Atoms (fractional coordinates):
Mg 0.125 0.125 0.125
Mg 0.125 0.125 0.625
Mg 0.125 0.625 0.125
Mg 0.625 0.125 0.125
Be 0.500 0.500 0.500
Mo 0.750 0.750 0.750

Results
**Electronic total energy**: -16.2 eV per cell
**Density**: 2.9 g/cm³
**Formation energy**: 0.796 eV per atom

(11)
Here is MgBe3Mo after structural relaxation from Alexandria via LeMat-Bulk. Energies are from PBE.

abc: 4.093 4.093 4.093
angles: 90.00 90.00 90.00
Atoms (fractional coordinates):
Mg 0.000 0.000 0.000
Be 0.000 0.000 0.500
Be 0.000 0.500 0.000
Be 0.500 0.000 0.000
Mo 0.500 0.500 0.500

Results
**Electronic total energy**: -15.8 eV per cell
**Density**: 3.6 g/cm³
**Energy above the lowest structure with this stoichiometry**: 0.522 eV/atom
**Formation energy**: 1.561 eV per atom

(12)
Here is Mg2BeMo after structural relaxation from Alexandria via LeMat-Bulk. Energies are from PBE.

abc: 2.770 4.491 5.197
angles: 90.00 101.61 90.00
Atoms (fractional coordinates):
Mg 0.182 0.000 0.253
Mg 0.818 0.000 0.747
Be 0.000 0.500 0.500
Mo 0.500 0.500 0.000

Results
**Electronic total energy**: -16.0 eV per cell
**Density**: 4.0 g/cm³
**Formation energy**: 0.440 eV per atom

> Which value of density does entry 1 give?

4.0 g/cm³

What did the fifth record say?
Here is MgBe3Mo after structural relaxation from Alexandria via LeMat-Bulk. Energies are from PBE.

abc: 4.335 4.335 4.335
angles: 90.00 90.00 90.00
Atoms (fractional coordinates):
Mg 0.000 0.000 0.000
Be 0.000 0.500 0.500
Be 0.500 0.000 0.500
Be 0.500 0.500 0.000
Mo 0.500 0.500 0.500

Results
**Electronic total energy**: -18.4 eV per cell
**Density**: 3.0 g/cm³
**Energy above the lowest structure with this stoichiometry**: 0.000 eV/atom
**Formation energy**: 1.038 eV per atom

> Which value of density does entry 4 give?

4.2 g/cm³